This record from the Alexandria database describes a relaxed TaFeIr2 crystal. The functional is PBE-GGA.

The structure belongs to space group F-43m (No. 216); the cell edges are 6.2104, 6.2104 and 6.2104 Å and the angles 90.00°, 90.00° and 90.00°. Symmetry generates all atoms from Ta at (0.0000, 0.0000, 0.0000), Fe at (0.2500, 0.2500, 0.7500), Ir at (0.0000, 0.0000, 0.5000) and Ir at (0.2500, 0.2500, 0.2500).

As for the density of states at the Fermi level: 1.46 states/eV/atom. Its total energy is -9.571 eV per atom. The calculation puts the total magnetic moment at 11.19 Bohr magnetons per cell. For the formation energy, the calculation gives -62 meV/atom.

=====

This record from the Alexandria database describes a relaxed TaFe2Ir2 crystal. The functional is PBE-GGA.

The structure belongs to space group P4/mbm (No. 127); the cell edges are 7.1184, 7.1184 and 2.7442 Å and the angles 90.00°, 90.00° and 90.00°. Symmetry generates all atoms from Ta at (0.0000, 0.0000, 0.0000), Fe at (0.1177, 0.3823, 0.0000) and Ir at (0.1771, 0.6771, 0.5000).

As for the density of states at the Fermi level: 0.87 states/eV/atom. Its total energy is -9.429 eV per atom. The calculation puts the total magnetic moment at 5.81 Bohr magnetons per cell. For the formation energy, the calculation gives -129 meV/atom.

=====

This record from the Alexandria database describes a relaxed TaFeIr crystal. The functional is PBE-GGA.

The structure belongs to space group F-43m (No. 216); the cell edges are 5.8077, 5.8077 and 5.8077 Å and the angles 90.00°, 90.00° and 90.00°. Symmetry generates all atoms from Ta at (0.0000, 0.0000, 0.0000), Fe at (0.2500, 0.2500, 0.2500) and Ir at (0.0000, 0.0000, 0.5000).

As for the density of states at the Fermi level: 0.52 states/eV/atom. Its total energy is -9.591 eV per atom. The calculation puts the total magnetic moment at 5.53 Bohr magnetons per cell. For the formation energy, the calculation gives 134 meV/atom.

=====

This record from the Alexandria database describes a relaxed TaFeIr crystal. The functional is PBE-GGA.

The structure belongs to space group I4mm (No. 107); the cell edges are 2.8329, 2.8329 and 11.0929 Å and the angles 90.00°, 90.00° and 90.00°. Symmetry generates all atoms from Ta at (0.0000, 0.0000, 0.0000), Fe at (0.0000, 0.0000, 0.3280) and Ir at (0.0000, 0.0000, 0.6771).

As for the density of states at the Fermi level: 1.13 states/eV/atom. Its total energy is -9.890 eV per atom. The calculation puts the total magnetic moment at 4.96 Bohr magnetons per cell. For the formation energy, the calculation gives -164 meV/atom.

=====

This record from the Alexandria database describes a relaxed TaFeIr2 crystal. The functional is PBE-GGA.

The structure belongs to space group P2/m (No. 10); the cell edges are 2.8695, 3.6894 and 5.6146 Å and the angles 90.00°, 90.15° and 90.00°. Symmetry generates all atoms from Ta at (0.0000, 0.0000, 0.0000), Fe at (0.0000, 0.0000, 0.5000) and Ir at (0.5005, 0.5000, 0.2619).

As for the density of states at the Fermi level: 0.96 states/eV/atom. Its total energy is -9.900 eV per atom. The calculation puts the total magnetic moment at 2.91 Bohr magnetons per cell. For the formation energy, the calculation gives -391 meV/atom.

=====

This record from the Alexandria database describes a relaxed TaFeIr crystal. The functional is PBE-GGA.

The structure belongs to space group C2/m (No. 12); the cell edges are 9.3649, 3.0085 and 6.7949 Å and the angles 90.00°, 111.02° and 90.00°. Symmetry generates all atoms from Ta at (0.0186, 0.0000, 0.2528), Fe at (0.1690, 0.5000, 0.0604) and Ir at (0.1666, 0.5000, 0.6141).

As for the density of states at the Fermi level: 0.69 states/eV/atom. Its total energy is -10.025 eV per atom. The calculation puts the total magnetic moment at 9.74 Bohr magnetons per cell. For the formation energy, the calculation gives -299 meV/atom.

=====

This record from the Alexandria database describes a relaxed Ta2Fe2Ir crystal. The functional is PBE-GGA.

The structure belongs to space group P4/mbm (No. 127); the cell edges are 6.7917, 6.7917 and 3.1097 Å and the angles 90.00°, 90.00° and 90.00°. Symmetry generates all atoms from Ta at (0.1828, 0.3172, 0.0000), Fe at (0.1198, 0.6198, 0.5000) and Ir at (0.0000, 0.0000, 0.5000).

As for the density of states at the Fermi level: 1.10 states/eV/atom. Its total energy is -10.095 eV per atom. The calculation puts the total magnetic moment at 2.82 Bohr magnetons per cell. For the formation energy, the calculation gives -197 meV/atom.

=====

This record from the Alexandria database describes a relaxed TaFeIr crystal. The functional is PBE-GGA.

The structure belongs to space group F-43m (No. 216); the cell edges are 5.9261, 5.9261 and 5.9261 Å and the angles 90.00°, 90.00° and 90.00°. Symmetry generates all atoms from Ta at (0.0000, 0.0000, 0.0000), Fe at (0.2500, 0.2500, 0.7500) and Ir at (0.2500, 0.2500, 0.2500).

As for the density of states at the Fermi level: 1.30 states/eV/atom. Its total energy is -9.458 eV per atom. The calculation puts the total magnetic moment at 5.22 Bohr magnetons per cell. For the formation energy, the calculation gives 268 meV/atom.